Entry from Alexandria: KNi2Sb after structural relaxation (PBE).

The energy relative to the elements, uncorrected comes out at -0.10 eV per atom. The energy is -4.30 eV per atom. The magnetic moment comes out at 0.000 μB/cell.

The structure belongs to space group Cm (No. 8); the cell edges are 7.5491, 4.3563 and 6.1218 Å and the angles 90.00°, 93.35° and 90.00°. The distinct sites, in fractional coordinates, are K at (0.0000, 0.0000, 0.0000), Ni at (0.1604, 0.5000, 0.5273), Ni at (0.4922, 0.5000, 0.4973) and Sb at (0.3263, 0.0000, 0.5088).



Entry from Alexandria: ScCd4Pd after structural relaxation (PBE).

The energy is -2.80 eV per atom. The magnetic moment comes out at 0.000 μB/cell. The calculation puts the formation energy at -269 meV per atom.

The structure belongs to space group C2/c (No. 15); the cell edges are 5.9257, 16.9188 and 5.1388 Å and the angles 90.00°, 102.23° and 90.00°. The distinct sites, in fractional coordinates, are Sc at (0.0000, 0.2091, 0.2500), Cd at (0.2343, 0.4514, 0.6796), Cd at (0.2436, 0.3660, 0.1944) and Pd at (0.0000, 0.2821, 0.7500).



Entry from Alexandria: BiRh3Cl after structural relaxation (PBE).

The energy relative to the elements, uncorrected comes out at 1.31 eV per atom. Its energy above the lowest structure with this stoichiometry is 0.753 eV/atom. The energy is -4.25 eV per atom. The magnetic moment comes out at 2.015 μB/cell.

The structure belongs to space group Pm-3m (No. 221); the cell edges are 5.0797, 5.0797 and 5.0797 Å and the angles 90.00°, 90.00° and 90.00°. The distinct sites, in fractional coordinates, are Bi at (0.0000, 0.0000, 0.0000), Rh at (0.0000, 0.0000, 0.5000) and Cl at (0.5000, 0.5000, 0.5000).